Density functional theory data (PBE) for a relaxed B2RuW crystal.

**E**: -8.1394 eV per atom

Lattice parameters (Å, degrees): 4.5843 4.5843 10.2729 90.00 90.00 90.00
Space group I-42d (No. 122)
Symmetry-distinct sites (fractional):
B 0.2250 0.2500 0.1250 [8 per cell]
Ru 0.0000 0.0000 0.0000 [4 per cell]
W 0.0000 0.0000 0.5000 [4 per cell]